Entry 1:
# PBE Na2SmMnTe4, optimized geometry
data_Na2SmMnTe4
_chemical_formula_sum 'Na2 Sm1 Mn1 Te4'
_cell_length_a 7.439
_cell_length_b 4.325
_cell_length_c 7.977
_cell_angle_alpha 90.00
_cell_angle_beta 108.10
_cell_angle_gamma 90.00
_symmetry_space_group_name_H-M 'P 1 2/m 1'
_symmetry_Int_Tables_number 10
loop_
_symmetry_equiv_pos_as_xyz
'x,y,z'
'-x,-y,-z'
'-x,y,-z'
'x,-y,z'
loop_
_atom_site_label
_atom_site_type_symbol
_atom_site_fract_x
_atom_site_fract_y
_atom_site_fract_z
Na1 Na 0.000 0.000 0.000
Na2 Na 0.500 0.500 0.000
Sm1 Sm 0.000 0.500 0.500
Mn1 Mn 0.500 0.000 0.500
Te1 Te 0.268 0.000 0.727
Te2 Te 0.283 0.500 0.284
# Formation energy without anion corrections in meV/atom: -832
# Crystal system: monoclinic
# M_tot in μB/cell: 4.05

Entry 2:
# PBE CaTa3N, optimized geometry
data_CaTa3N
_chemical_formula_sum 'Ca1 Ta3 N1'
_cell_length_a 4.398
_cell_length_b 4.398
_cell_length_c 4.398
_cell_angle_alpha 90.00
_cell_angle_beta 90.00
_cell_angle_gamma 90.00
_symmetry_space_group_name_H-M 'P m -3 m'
_symmetry_Int_Tables_number 221
_symmetry_space_group_name_Hall '-P 4 2 3'
loop_
_atom_site_label
_atom_site_type_symbol
_atom_site_fract_x
_atom_site_fract_y
_atom_site_fract_z
Ca1 Ca 0.000 0.000 0.000
Ta1 Ta 0.000 0.500 0.500
N1 N 0.500 0.500 0.500
# Formation energy without anion corrections in meV/atom: 31
# Crystal system: cubic
# M_tot in μB/cell: 0.00
# Offset from the most stable computed form in eV per formula unit: 0.00

Entry 3:
# PBE KBi2F, optimized geometry
data_KBi2F
_chemical_formula_sum 'K4 Bi8 F4'
_cell_length_a 7.592
_cell_length_b 7.592
_cell_length_c 7.592
_cell_angle_alpha 90.00
_cell_angle_beta 90.00
_cell_angle_gamma 90.00
_symmetry_space_group_name_H-M 'F m -3 m'
_symmetry_Int_Tables_number 225
_symmetry_space_group_name_Hall '-F 4 2 3'
loop_
_atom_site_label
_atom_site_type_symbol
_atom_site_fract_x
_atom_site_fract_y
_atom_site_fract_z
K1 K 0.000 0.000 0.000
Bi1 Bi 0.250 0.250 0.250
F1 F 0.000 0.000 0.500
# Formation energy without anion corrections in meV/atom: -257
# Crystal system: cubic
# M_tot in μB/cell: 0.00
# Offset from the most stable computed form in eV per formula unit: 1.41

Entry 4:
# PBE Ac4Bi3Cl, optimized geometry
data_Ac4Bi3Cl
_chemical_formula_sum 'Ac16 Bi12 Cl4'
_cell_length_a 9.576
_cell_length_b 9.585
_cell_length_c 13.519
_cell_angle_alpha 90.00
_cell_angle_beta 90.00
_cell_angle_gamma 90.00
_symmetry_space_group_name_H-M 'F m m m'
_symmetry_Int_Tables_number 69
_symmetry_space_group_name_Hall '-F 2 2'
loop_
_atom_site_label
_atom_site_type_symbol
_atom_site_fract_x
_atom_site_fract_y
_atom_site_fract_z
Ac1 Ac 0.000 0.000 0.248
Ac2 Ac 0.250 0.250 0.000
Bi1 Bi 0.000 0.000 0.000
Bi2 Bi 0.250 0.250 0.250
Cl1 Cl 0.000 0.000 0.500
# Formation energy without anion corrections in meV/atom: -1094
# Crystal system: orthorhombic
# M_tot in μB/cell: 0.00

Entry 5:
# PBE Pa3TlSe7, optimized geometry
data_Pa3TlSe7
_chemical_formula_sum 'Pa6 Tl2 Se14'
_cell_length_a 9.202
_cell_length_b 10.176
_cell_length_c 7.214
_cell_angle_alpha 90.00
_cell_angle_beta 108.86
_cell_angle_gamma 90.00
_symmetry_space_group_name_H-M 'C 1 2/m 1'
_symmetry_Int_Tables_number 12
loop_
_symmetry_equiv_pos_as_xyz
'x,y,z'
'-x,-y,-z'
'-x,y,-z'
'x,-y,z'
'x+1/2,y+1/2,z'
'-x+1/2,-y+1/2,-z'
'-x+1/2,y+1/2,-z'
'x+1/2,-y+1/2,z'
loop_
_atom_site_label
_atom_site_type_symbol
_atom_site_fract_x
_atom_site_fract_y
_atom_site_fract_z
Pa1 Pa 0.000 0.000 0.000
Pa2 Pa 0.000 0.228 0.500
Tl1 Tl 0.000 0.500 0.000
Se1 Se 0.000 0.500 0.500
Se2 Se 0.149 0.000 0.722
Se3 Se 0.179 0.198 0.243
# Formation energy without anion corrections in meV/atom: -1177
# Crystal system: monoclinic
# M_tot in μB/cell: 4.13

Number 1: total energy -4.47 eV/atom, density of states at the Fermi level 2.770 states/eV/f.u.. Number 2: total energy -9.15 eV/atom, density of states at the Fermi level 6.580 states/eV/f.u.. Number 3: total energy -2.94 eV/atom, density of states at the Fermi level 1.347 states/eV/f.u.. Number 4: total energy -4.83 eV/atom, density of states at the Fermi level 3.310 states/eV/f.u.. Number 5: total energy -6.20 eV/atom, density of states at the Fermi level 11.968 states/eV/f.u..